{
  "formula": "TlPb2WO6",
  "functional": "PBE with a Hubbard U",
  "state": "relaxed",
  "mass_density_g_cm3": 9.5,
  "spacegroup": "P2_1/c (14)",
  "e_tot_ev_per_atom": -6.033,
  "lattice_angstrom": [[5.820, 0.000, 0.000], [0.000, 6.326, 0.000], [-5.580, 0.000, 8.548]],
  "species": ["Tl", "Tl", "Pb", "Pb", "Pb", "Pb", "W", "W", "O", "O", "O", "O", "O", "O", "O", "O", "O", "O", "O", "O"],
  "fractional_positions": [[0.000, 0.000, 0.000], [0.000, 0.500, 0.500], [0.229, 0.043, 0.737], [0.229, 0.457, 0.237], [0.771, 0.543, 0.763], [0.771, 0.957, 0.263], [0.500, 0.000, 0.500], [0.500, 0.500, 0.000], [0.179, 0.155, 0.467], [0.179, 0.345, 0.967], [0.279, 0.742, 0.431], [0.279, 0.758, 0.931], [0.389, 0.062, 0.283], [0.389, 0.438, 0.783], [0.611, 0.562, 0.217], [0.611, 0.938, 0.717], [0.721, 0.242, 0.069], [0.721, 0.258, 0.569], [0.821, 0.655, 0.033], [0.821, 0.845, 0.533]]
}